Crystalline Nd2SmErIn2 at its relaxed geometry. Source: Alexandria, functional GGA-PBE.

Properties
crystal system: orthorhombic
space-group type: No. 26

a = 5.271 Å, b = 6.844 Å, c = 10.054 Å
α = 90.00°, β = 90.00°, γ = 90.00°
Positions (direct):
In  0.500  0.222  0.365
In  0.000  0.795  0.150
In  0.500  0.722  0.635
In  0.000  0.295  0.850
Sm  0.000  0.469  0.539
Sm  0.000  0.969  0.461
Nd  0.500  0.044  0.041
Nd  0.000  0.323  0.180
Nd  0.000  0.823  0.820
Nd  0.500  0.544  0.959
Er  0.500  0.692  0.320
Er  0.500  0.192  0.680

=====

Crystalline Nd2Sm2Er2In at its relaxed geometry. Source: Alexandria, functional GGA-PBE.

Properties
crystal system: monoclinic
space-group type: No. 12

a = 3.578 Å, b = 6.201 Å, c = 11.627 Å
α = 112.42°, β = 90.00°, γ = 106.77°
Positions (direct):
Sm  0.325  0.649  0.913
Sm  0.675  0.351  0.087
Er  0.745  0.490  0.627
Er  0.255  0.510  0.373
Nd  0.527  0.054  0.753
Nd  0.473  0.946  0.247
In  0.000  0.000  0.500

=====

Crystalline NdErInSn at its relaxed geometry. Source: Alexandria, functional GGA-PBE.

Properties
crystal system: cubic
space-group type: No. 216

a = 5.396 Å, b = 5.396 Å, c = 5.396 Å
α = 60.00°, β = 60.00°, γ = 60.00°
Positions (direct):
Er  0.000  0.000  0.000
In  0.750  0.750  0.750
Nd  0.500  0.500  0.500
Sn  0.250  0.250  0.250

=====

Crystalline Tb6Nd3Er2In at its relaxed geometry. Source: Alexandria, functional GGA-PBE.

Properties
crystal system: monoclinic
space-group type: No. 12

a = 6.168 Å, b = 6.168 Å, c = 11.674 Å
α = 95.08°, β = 95.08°, γ = 120.04°
Positions (direct):
Tb  0.920  0.593  0.758
Tb  0.248  0.248  0.757
Tb  0.593  0.920  0.758
Tb  0.752  0.752  0.243
Tb  0.407  0.080  0.242
Tb  0.080  0.407  0.242
Er  0.666  0.334  0.000
Er  0.334  0.666  0.000
In  0.000  0.000  0.000
Nd  0.833  0.167  0.500
Nd  0.500  0.500  0.500
Nd  0.167  0.833  0.500

=====

no.,ΔE_f (eV/atom)
1,-0.348
2,-0.027
3,-0.500
4,-0.035